(1)
First-principles (PBE) data for a relaxed structure of BaF, as listed in Alexandria via LeMat-Bulk.

The structure in POSCAR format:
```
BaF
1.0
-3.531 3.531 5.160
3.531 -3.531 5.160
3.531 3.531 -5.160
Ba F
4 4
direct
0.219 0.219 0.000
0.531 0.031 0.500
0.781 0.781 0.000
0.969 0.469 0.500
0.148 0.852 0.000
0.602 0.102 0.203
0.852 0.148 0.000
0.898 0.398 0.797
```

Summary:
M_tot, μB/f.u.: 0.0
Crystal system: tetragonal
Space-group type: No. 98
DOS(E_F), states/eV/f.u.: 0.70
Electronic total energy, Ry per atom: -0.34559

***

(2)
First-principles (PBE) data for a relaxed structure of ZrTe3Rh, as listed in Alexandria via LeMat-Bulk.

The structure in POSCAR format:
```
ZrTe3Rh
1.0
5.539 0.000 0.000
0.000 5.539 0.000
0.000 0.000 5.539
Zr Te Rh
1 3 1
direct
0.000 0.000 0.000
0.000 0.000 0.500
0.000 0.500 0.000
0.500 0.000 0.000
0.500 0.500 0.500
```

Summary:
M_tot, μB/f.u.: 2.0
Crystal system: cubic
Space-group type: No. 221
DOS(E_F), states/eV/f.u.: 7.01
Energy relative to the lowest polymorph listed for this composition, eV per atom: 1.0827

***

(3)
First-principles (PBE) data for a relaxed structure of CaMg3Cu2, as listed in Alexandria via LeMat-Bulk.

The structure in POSCAR format:
```
CaMg3Cu2
1.0
4.633 0.000 0.000
-2.316 4.012 0.000
0.000 0.000 13.473
Ca Mg Cu
2 6 4
direct
0.000 0.000 0.250
0.000 0.000 0.750
0.000 0.000 0.000
0.000 0.000 0.500
0.333 0.667 0.093
0.333 0.667 0.407
0.667 0.333 0.593
0.667 0.333 0.907
0.333 0.667 0.612
0.333 0.667 0.888
0.667 0.333 0.112
0.667 0.333 0.388
```

Summary:
ΔE_f, eV/atom: -0.059
M_tot, μB/f.u.: 0.0
Crystal system: hexagonal
Space-group type: No. 194
DOS(E_F), states/eV/f.u.: 3.11

***

(4)
First-principles (PBE) data for a relaxed structure of In2Fe3, as listed in Alexandria via LeMat-Bulk.

The structure in POSCAR format:
```
In2Fe3
1.0
0.000 6.525 2.657
4.579 0.000 2.657
4.579 6.525 0.000
In Fe
4 6
direct
0.136 0.864 0.258
0.508 0.992 0.386
0.864 0.136 0.742
0.992 0.508 0.114
0.158 0.158 0.842
0.408 0.408 0.092
0.459 0.551 0.327
0.551 0.459 0.663
0.587 0.923 0.699
0.923 0.587 0.791
```

Summary:
ΔE_f, eV/atom: 0.207
M_tot, μB/f.u.: 7.3
Crystal system: orthorhombic
Space-group type: No. 43
DOS(E_F), states/eV/f.u.: 3.00
Energy relative to the lowest polymorph listed for this composition, eV per atom: 0.0000

***

(5)
First-principles (PBE) data for a relaxed structure of Pm3Pr12Sc, as listed in Alexandria via LeMat-Bulk.

The structure in POSCAR format:
```
Pm3Pr12Sc
1.0
5.198 0.000 0.000
0.000 5.198 0.000
0.000 0.000 20.769
Pm Pr Sc
3 12 1
direct
0.000 0.000 0.000
0.000 0.000 0.253
0.000 0.000 0.747
0.000 0.500 0.127
0.000 0.500 0.380
0.000 0.500 0.620
0.000 0.500 0.873
0.500 0.000 0.127
0.500 0.000 0.380
0.500 0.000 0.620
0.500 0.000 0.873
0.500 0.500 0.000
0.500 0.500 0.253
0.500 0.500 0.500
0.500 0.500 0.747
0.000 0.000 0.500
```

Summary:
ΔE_f, eV/atom: 0.020
M_tot, μB/f.u.: 0.0
Crystal system: tetragonal
Space-group type: No. 123
DOS(E_F), states/eV/f.u.: 25.22

***

(6)
First-principles (PBE) data for a relaxed structure of MgSn3P4O14, as listed in Alexandria via LeMat-Bulk.

The structure in POSCAR format:
```
MgSn3P4O14
1.0
8.411 0.000 0.000
0.000 7.549 0.000
-2.463 0.000 9.799
Mg Sn P O
2 6 8 28
direct
0.000 0.000 0.000
0.000 0.500 0.500
0.297 0.143 0.474
0.297 0.357 0.974
0.500 0.000 0.000
0.500 0.500 0.500
0.703 0.643 0.026
0.703 0.857 0.526
0.056 0.063 0.695
0.056 0.437 0.195
0.308 0.711 0.173
0.308 0.789 0.673
0.692 0.211 0.327
0.692 0.289 0.827
0.944 0.563 0.805
0.944 0.937 0.305
0.098 0.086 0.851
0.098 0.414 0.351
0.128 0.544 0.865
0.128 0.956 0.365
0.130 0.624 0.164
0.130 0.876 0.664
0.132 0.209 0.621
0.132 0.291 0.121
0.261 0.613 0.596
0.261 0.887 0.096
0.397 0.582 0.094
0.397 0.918 0.594
0.406 0.723 0.320
0.406 0.777 0.820
0.594 0.223 0.180
0.594 0.277 0.680
0.603 0.082 0.406
0.603 0.418 0.906
0.739 0.113 0.904
0.739 0.387 0.404
0.868 0.709 0.879
0.868 0.791 0.379
0.870 0.124 0.336
0.870 0.376 0.836
0.872 0.044 0.635
0.872 0.456 0.135
0.902 0.586 0.649
0.902 0.914 0.149
```

Summary:
M_tot, μB/f.u.: 0.0
Crystal system: monoclinic
Space-group type: No. 14
DOS(E_F), states/eV/f.u.: 0.00
Electronic total energy, Ry per atom: -0.49607

***

(7)
First-principles (PBE) data for a relaxed structure of RbIn3Mo, as listed in Alexandria via LeMat-Bulk.

The structure in POSCAR format:
```
RbIn3Mo
1.0
5.397 0.000 0.000
0.000 5.397 0.000
0.000 0.000 5.397
Rb In Mo
1 3 1
direct
0.000 0.000 0.000
0.000 0.500 0.500
0.500 0.000 0.500
0.500 0.500 0.000
0.500 0.500 0.500
```

Summary:
ΔE_f, eV/atom: 0.201
M_tot, μB/f.u.: 0.0
Crystal system: cubic
Space-group type: No. 221
DOS(E_F), states/eV/f.u.: 3.10
Energy relative to the lowest polymorph listed for this composition, eV per atom: 0.0000

***

(8)
First-principles (PBE) data for a relaxed structure of TaAl2ZnCr, as listed in Alexandria via LeMat-Bulk.

The structure in POSCAR format:
```
TaAl2ZnCr
1.0
4.658 0.000 0.000
0.000 4.658 0.000
0.000 0.000 4.481
Ta Al Zn Cr
1 2 1 1
direct
0.000 0.000 0.000
0.000 0.500 0.500
0.500 0.000 0.500
0.500 0.500 0.000
0.000 0.000 0.500
```

Summary:
ΔE_f, eV/atom: 0.697
M_tot, μB/f.u.: 0.0
Crystal system: tetragonal
Space-group type: No. 123
DOS(E_F), states/eV/f.u.: 2.85

***

(9)
First-principles (PBE) data for a relaxed structure of PrYSi2Pd2, as listed in Alexandria via LeMat-Bulk.

The structure in POSCAR format:
```
PrYSi2Pd2
1.0
4.219 0.000 0.000
-2.109 3.654 0.000
0.000 0.000 8.173
Pr Y Si Pd
1 1 2 2
direct
0.000 0.000 0.000
0.000 0.000 0.500
0.333 0.667 0.256
0.667 0.333 0.744
0.333 0.667 0.732
0.667 0.333 0.268
```

Summary:
M_tot, μB/f.u.: 0.0
Crystal system: trigonal
Space-group type: No. 164
DOS(E_F), states/eV/f.u.: 4.55
Electronic total energy, Ry per atom: -0.46503

***

(10)
First-principles (PBE) data for a relaxed structure of Th3NiGe2, as listed in Alexandria via LeMat-Bulk.

The structure in POSCAR format:
```
Th3NiGe2
1.0
12.012 0.000 0.000
0.000 4.188 0.000
0.000 0.000 11.543
Th Ni Ge
12 4 8
direct
0.053 0.250 0.122
0.121 0.750 0.558
0.218 0.250 0.791
0.282 0.750 0.291
0.379 0.250 0.058
0.447 0.750 0.622
0.553 0.250 0.378
0.621 0.750 0.942
0.718 0.250 0.709
0.782 0.750 0.209
0.879 0.250 0.442
0.947 0.750 0.878
0.131 0.250 0.369
0.369 0.750 0.869
0.631 0.250 0.131
0.869 0.750 0.631
0.022 0.750 0.312
0.194 0.750 0.996
0.306 0.250 0.496
0.478 0.250 0.812
0.522 0.750 0.188
0.694 0.750 0.504
0.806 0.250 0.004
0.978 0.250 0.688
```

Summary:
ΔE_f, eV/atom: -0.687
M_tot, μB/f.u.: 0.0
Crystal system: orthorhombic
Space-group type: No. 62
DOS(E_F), states/eV/f.u.: 5.11

***

(11)
First-principles (PBE) data for a relaxed structure of Ce2HfV, as listed in Alexandria via LeMat-Bulk.

The structure in POSCAR format:
```
Ce2HfV
1.0
1.511 0.873 11.067
-1.511 0.873 11.067
0.000 -1.745 11.067
Ce Hf V
2 1 1
direct
0.078 0.078 0.078
0.922 0.922 0.922
0.500 0.500 0.500
0.000 0.000 0.000
```

Summary:
ΔE_f, eV/atom: 0.444
M_tot, μB/f.u.: 1.4
Crystal system: trigonal
Space-group type: No. 166
DOS(E_F), states/eV/f.u.: 8.92

***

(12)
First-principles (PBE) data for a relaxed structure of AlSe4, as listed in Alexandria via LeMat-Bulk.

The structure in POSCAR format:
```
AlSe4
1.0
4.864 0.000 0.000
0.000 4.864 0.000
0.000 0.000 4.864
Al Se
1 4
direct
0.000 0.000 0.000
0.000 0.000 0.500
0.000 0.500 0.000
0.500 0.000 0.000
0.500 0.500 0.500
```

Summary:
M_tot, μB/f.u.: 0.0
Crystal system: cubic
Space-group type: No. 221
DOS(E_F), states/eV/f.u.: 3.32
Energy relative to the lowest polymorph listed for this composition, eV per atom: 0.2303

***

Copy entry 3 word for word.
First-principles (PBE) data for a relaxed structure of CaMg3Cu2, as listed in Alexandria via LeMat-Bulk.

The structure in POSCAR format:
```
CaMg3Cu2
1.0
4.633 0.000 0.000
-2.316 4.012 0.000
0.000 0.000 13.473
Ca Mg Cu
2 6 4
direct
0.000 0.000 0.250
0.000 0.000 0.750
0.000 0.000 0.000
0.000 0.000 0.500
0.333 0.667 0.093
0.333 0.667 0.407
0.667 0.333 0.593
0.667 0.333 0.907
0.333 0.667 0.612
0.333 0.667 0.888
0.667 0.333 0.112
0.667 0.333 0.388
```

Summary:
ΔE_f, eV/atom: -0.059
M_tot, μB/f.u.: 0.0
Crystal system: hexagonal
Space-group type: No. 194
DOS(E_F), states/eV/f.u.: 3.11